No. 1
## SrCd2Ru (GGA-PBE)

Data for a relaxed SrCd2Ru crystal.

Computed properties:
- calculated total energy (eV per atom) = -3.046
- formation energy from the elements (kJ per mole of atoms) = 15

Cell and atoms, written as CIF:
```
data_SrCd2Ru
_cell_length_a 4.6547
_cell_length_b 4.6547
_cell_length_c 16.6674
_cell_angle_alpha 90.00
_cell_angle_beta 90.00
_cell_angle_gamma 120.00
_symmetry_space_group_name_H-M 'R -3 m'
_symmetry_Int_Tables_number 166
_symmetry_space_group_name_Hall '-R 3 2"'
loop_
_atom_site_label
_atom_site_fract_x
_atom_site_fract_y
_atom_site_fract_z
Sr1 0.0000 0.0000 0.0000
Cd1 0.0000 0.0000 0.2069
Ru1 0.0000 0.0000 0.5000
```


No. 2
## YHoP2Rh5 (GGA-PBE)

Data for a relaxed YHoP2Rh5 crystal.

Computed properties:
- calculated total energy (eV per atom) = -7.517
- formation energy from the elements (kJ per mole of atoms) = -97

Cell and atoms, written as CIF:
```
data_YHoP2Rh5
_cell_length_a 4.1071
_cell_length_b 4.1071
_cell_length_c 8.6863
_cell_angle_alpha 90.00
_cell_angle_beta 90.00
_cell_angle_gamma 90.00
_symmetry_space_group_name_H-M 'P 4/m m m'
_symmetry_Int_Tables_number 123
_symmetry_space_group_name_Hall '-P 4 2'
loop_
_atom_site_label
_atom_site_fract_x
_atom_site_fract_y
_atom_site_fract_z
Y1 0.0000 0.0000 0.0000
Ho1 0.0000 0.0000 0.5000
P1 0.5000 0.5000 0.1395
Rh1 0.0000 0.5000 0.2579
Rh2 0.5000 0.5000 0.5000
```


Which of these has the lowest calculated total energy? YHoP2Rh5